VASP calculation (PBE) on a relaxed LiHoTcMo crystal.

Geometry as CIF:
```
data_LiHoTcMo
_symmetry_space_group_name_H-M 'F -4 3 m'
_symmetry_Int_Tables_number 216
_symmetry_space_group_name_Hall 'F -4 2 3'
_cell_length_a 6.499
_cell_length_b 6.499
_cell_length_c 6.499
_cell_angle_alpha 90.00
_cell_angle_beta 90.00
_cell_angle_gamma 90.00
loop_
_atom_site_label
_atom_site_fract_x
_atom_site_fract_y
_atom_site_fract_z
_atom_site_occupancy
Li1 0.000 0.000 0.000 1
Ho1 0.250 0.250 0.250 1
Tc1 0.000 0.000 0.500 1
Mo1 0.250 0.250 0.750 1
```

Calculated formation energy ... 0.168 eV/atom
N(E_F) ... 9.343 states/eV per cell
Final energy ... -6.755 eV per atom